No. 1
Material: Ca3CuBi3S8
Method: DFT, PBE
State: relaxed

Cell lengths 8.071, 8.070, 8.027 Å; angles 120.18, 90.00, 120.00 degrees
Fractional coordinates of all 15 atoms:
1 S 0.231 0.998 0.729
2 Bi 0.500 0.000 0.500
3 S 0.769 0.002 0.271
4 Cu 0.000 0.000 0.500
5 Bi 0.000 0.500 0.500
6 S 0.230 0.460 0.728
7 Ca 0.500 0.500 0.000
8 S 0.751 0.502 0.752
9 S 0.233 0.002 0.271
10 Ca 0.000 0.500 0.000
11 Bi 0.500 0.500 0.500
12 S 0.249 0.498 0.248
13 Ca 0.000 0.000 0.000
14 S 0.770 0.540 0.272
15 S 0.767 0.998 0.729

Fermi-level density of states in states/eV/cell: 5.2
Uncorrected formation energy in eV/atom: -0.91



No. 2
Material: CaCuBiS3
Method: DFT, PBE
State: relaxed

Cell lengths 3.898, 8.279, 8.549 Å; angles 100.88, 90.00, 90.00 degrees
Fractional coordinates of all 12 atoms:
1 Ca 0.250 0.171 0.233
2 Bi 0.250 0.664 0.173
3 S 0.750 0.212 0.495
4 Bi 0.750 0.336 0.827
5 S 0.750 0.412 0.163
6 S 0.250 0.098 0.866
7 Ca 0.750 0.829 0.767
8 S 0.750 0.902 0.134
9 S 0.250 0.788 0.505
10 Cu 0.750 0.917 0.419
11 S 0.250 0.588 0.837
12 Cu 0.250 0.083 0.581

Uncorrected formation energy in eV/atom: -0.87



No. 3
Material: SrCaCuBi
Method: DFT, PBE
State: relaxed

Cell lengths 5.506, 5.506, 5.506 Å; angles 60.00, 60.00, 60.00 degrees
Fractional coordinates of all 4 atoms:
1 Bi 0.000 0.000 0.000
2 Sr 0.250 0.250 0.250
3 Cu 0.500 0.500 0.500
4 Ca 0.750 0.750 0.750

Fermi-level density of states in states/eV/cell: 0.2
Energy of formation from the pure elements in kJ per mole of atoms: -44.10



No. 4
Material: Ca5DyBi5
Method: DFT, PBE
State: relaxed

Cell lengths 6.391, 8.188, 8.989 Å; angles 106.40, 90.00, 112.97 degrees
Fractional coordinates of all 11 atoms:
1 Bi 0.849 0.697 0.174
2 Ca 0.317 0.634 0.678
3 Dy 0.000 0.000 0.000
4 Ca 0.321 0.642 0.144
5 Bi 0.161 0.322 0.330
6 Ca 0.679 0.358 0.856
7 Ca 0.683 0.366 0.322
8 Bi 0.151 0.303 0.826
9 Bi 0.839 0.678 0.670
10 Bi 0.500 0.000 0.000
11 Ca 0.000 0.000 0.500

Fermi-level density of states in states/eV/cell: 8.6
Energy of formation from the pure elements in kJ per mole of atoms: -64.61



No. 5
Material: Ca2DyBi3
Method: DFT, PBE
State: relaxed

Cell lengths 3.736, 6.540, 8.842 Å; angles 111.70, 102.20, 90.00 degrees
Fractional coordinates of all 6 atoms:
1 Ca 0.332 0.832 0.665
2 Bi 0.337 0.337 0.674
3 Dy 0.000 0.500 0.000
4 Bi 0.000 0.000 0.000
5 Ca 0.668 0.168 0.335
6 Bi 0.663 0.663 0.326

Fermi-level density of states in states/eV/cell: 2.0
Energy of formation from the pure elements in kJ per mole of atoms: -66.99



No. 6
Material: CaDyBi
Method: DFT, PBE
State: relaxed

Cell lengths 6.150, 3.580, 9.284 Å; angles 78.88, 90.00, 90.00 degrees
Fractional coordinates of all 6 atoms:
1 Ca 0.750 0.667 0.667
2 Bi 0.750 0.845 0.310
3 Ca 0.250 0.333 0.333
4 Dy 0.500 0.000 0.000
5 Bi 0.250 0.155 0.690
6 Dy 0.000 0.000 0.000

Fermi-level density of states in states/eV/cell: 3.8
Energy of formation from the pure elements in kJ per mole of atoms: -33.33



No. 7
Material: CaDy4Bi5
Method: DFT, PBE
State: relaxed

Cell lengths 4.486, 6.367, 11.966 Å; angles 105.43, 100.80, 90.00 degrees
Fractional coordinates of all 10 atoms:
1 Ca 0.000 0.000 0.000
2 Dy 0.599 0.599 0.197
3 Dy 0.799 0.799 0.599
4 Bi 0.199 0.699 0.399
5 Bi 0.604 0.104 0.208
6 Bi 0.801 0.301 0.601
7 Bi 0.000 0.500 0.000
8 Dy 0.401 0.401 0.803
9 Bi 0.396 0.896 0.792
10 Dy 0.201 0.201 0.401

Fermi-level density of states in states/eV/cell: 3.2
Energy of formation from the pure elements in kJ per mole of atoms: -78.88



No. 8
Material: CaDyBi
Method: DFT, PBE
State: relaxed

Cell lengths 4.337, 5.176, 5.176 Å; angles 120.00, 90.00, 90.00 degrees
Fractional coordinates of all 3 atoms:
1 Ca 0.379 0.333 0.667
2 Dy 0.906 0.000 0.000
3 Bi 0.716 0.667 0.333

Fermi-level density of states in states/eV/cell: 1.3
Energy of formation from the pure elements in kJ per mole of atoms: -30.73



No. 9
Material: CaDyBi
Method: DFT, PBE
State: relaxed

Cell lengths 4.076, 4.076, 6.602 Å; angles 107.98, 107.98, 90.00 degrees
Fractional coordinates of all 3 atoms:
1 Bi 0.272 0.272 0.544
2 Ca 0.934 0.934 0.867
3 Dy 0.644 0.644 0.289

Fermi-level density of states in states/eV/cell: 2.6
Energy of formation from the pure elements in kJ per mole of atoms: -38.25



No. 10
Material: CaDy5Bi6
Method: DFT, PBE
State: relaxed

Cell lengths 7.795, 7.790, 7.794 Å; angles 60.02, 80.40, 70.52 degrees
Fractional coordinates of all 12 atoms:
1 Bi 0.749 0.746 0.000
2 Bi 0.253 0.577 0.338
3 Dy 0.500 0.500 0.000
4 Dy 0.000 0.668 0.665
5 Dy 0.500 0.835 0.329
6 Bi 0.747 0.085 0.338
7 Dy 0.500 0.165 0.671
8 Bi 0.253 0.915 0.662
9 Dy 0.000 0.332 0.335
10 Ca 0.000 0.000 0.000
11 Bi 0.251 0.254 0.000
12 Bi 0.747 0.423 0.662

Fermi-level density of states in states/eV/cell: 3.1
Energy of formation from the pure elements in kJ per mole of atoms: -80.06



No. 11
Material: CaDy3Bi4
Method: DFT, PBE
State: relaxed

Cell lengths 7.790, 7.827, 9.042 Å; angles 90.00, 90.00, 109.52 degrees
Fractional coordinates of all 16 atoms:
1 Bi 0.003 0.252 0.622
2 Bi 0.497 0.748 0.622
3 Ca 0.250 0.000 0.124
4 Bi 0.001 0.743 0.871
5 Dy 0.250 0.000 0.626
6 Dy 0.750 0.000 0.374
7 Bi 0.503 0.252 0.378
8 Dy 0.750 0.500 0.123
9 Bi 0.499 0.257 0.871
10 Bi 0.999 0.257 0.129
11 Bi 0.501 0.743 0.129
12 Dy 0.750 0.500 0.626
13 Bi 0.997 0.748 0.378
14 Dy 0.250 0.500 0.374
15 Dy 0.250 0.500 0.877
16 Ca 0.750 0.000 0.876

Fermi-level density of states in states/eV/cell: 5.5
Energy of formation from the pure elements in kJ per mole of atoms: -77.82



Copy entry 5 word for word.
Material: Ca2DyBi3
Method: DFT, PBE
State: relaxed

Cell lengths 3.736, 6.540, 8.842 Å; angles 111.70, 102.20, 90.00 degrees
Fractional coordinates of all 6 atoms:
1 Ca 0.332 0.832 0.665
2 Bi 0.337 0.337 0.674
3 Dy 0.000 0.500 0.000
4 Bi 0.000 0.000 0.000
5 Ca 0.668 0.168 0.335
6 Bi 0.663 0.663 0.326

Fermi-level density of states in states/eV/cell: 2.0
Energy of formation from the pure elements in kJ per mole of atoms: -66.99